Density functional theory data (meta-GGA SCAN) for SiHg3Ru at its PBEsol-relaxed geometry.

The structure in extended XYZ format:
```
5
Lattice="-0.271 -5.008 -0.799 4.294 0.200 -2.705 2.699 -0.820 4.223" Properties=species:S:1:pos:R:3 pbc="T T T"
Hg 2.147 0.100 -1.353
Si 3.361 -2.814 0.359
Ru 0.000 0.000 0.000
Hg 1.350 -0.410 2.112
Hg -0.135 -2.504 -0.400
```

Properties
ΔE_f (raw): 531.8 kJ/mol of formula units
Space group: Pm-3m, No. 221
Magnetization: 0.323 μB/atom

---

Density functional theory data (meta-GGA SCAN) for SrHg2Ru at its PBEsol-relaxed geometry.

The structure in extended XYZ format:
```
4
Lattice="3.684 0.000 0.000 0.000 4.809 0.000 -1.842 -2.404 4.886" Properties=species:S:1:pos:R:3 pbc="T T T"
Sr 0.000 2.404 2.275
Ru 0.000 0.000 4.732
Hg 0.000 0.000 0.079
Hg 1.842 0.000 2.686
```

Properties
Space group: Imm2, No. 44
Magnetization: 0.000 μB/atom
Electronic total energy: -192.48 eV for the cell shown

---

Density functional theory data (meta-GGA SCAN) for Sr3HgRu at its PBEsol-relaxed geometry.

The structure in extended XYZ format:
```
5
Lattice="5.908 0.000 0.000 0.000 5.908 0.000 0.000 0.000 5.908" Properties=species:S:1:pos:R:3 pbc="T T T"
Hg 0.000 0.000 0.000
Sr 0.000 2.954 0.000
Sr 0.000 0.000 2.954
Sr 2.954 0.000 0.000
Ru 2.954 2.954 2.954
```

Properties
Space group: Pm-3m, No. 221
Magnetization: 0.443 μB/atom
Electronic total energy: -166.78 eV for the cell shown

---

Density functional theory data (meta-GGA SCAN) for TaHg2Ru at its PBEsol-relaxed geometry.

The structure in extended XYZ format:
```
4
Lattice="-1.483 0.684 2.441 -4.424 -0.620 -2.514 1.835 -4.201 2.292" Properties=species:S:1:pos:R:3 pbc="T T T"
Ta -2.036 -2.068 1.110
Hg -2.212 -0.310 -1.257
Ru -0.742 0.342 1.221
Hg 0.918 -2.101 1.146
```

Properties
Space group: Cmmm, No. 65
Magnetization: 0.001 μB/atom
Energy above the lowest structure with this stoichiometry: 1.77 eV per formula unit

---

Density functional theory data (meta-GGA SCAN) for TaHg2Ru at its PBEsol-relaxed geometry.

The structure in extended XYZ format:
```
4
Lattice="-2.637 0.287 1.317 -1.344 -3.518 -1.924 1.802 -3.022 4.267" Properties=species:S:1:pos:R:3 pbc="T T T"
Hg 0.442 -0.742 1.047
Ru -1.990 -1.615 -0.303
Ta -1.090 -3.126 1.830
Hg 1.360 -2.280 3.220
```

Properties
Space group: Pmmm, No. 47
Magnetization: 0.000 μB/atom
Energy above the lowest structure with this stoichiometry: 1.56 eV per formula unit

---

Density functional theory data (meta-GGA SCAN) for TaHg2Ru at its PBEsol-relaxed geometry.

The structure in extended XYZ format:
```
4
Lattice="4.028 0.000 0.000 0.000 4.028 0.000 -2.014 -2.014 4.243" Properties=species:S:1:pos:R:3 pbc="T T T"
Hg 0.000 2.014 2.122
Hg 2.014 0.000 2.122
Ru 2.014 2.014 0.000
Ta 0.000 0.000 0.000
```

Properties
Space group: I4/mmm, No. 139
Magnetization: 0.000 μB/atom
Energy above the lowest structure with this stoichiometry: 1.31 eV per formula unit

---

Density functional theory data (meta-GGA SCAN) for TaHg2Ru at its PBEsol-relaxed geometry.

The structure in extended XYZ format:
```
4
Lattice="3.946 0.000 0.000 0.000 3.946 0.000 0.000 0.000 4.476" Properties=species:S:1:pos:R:3 pbc="T T T"
Hg 0.000 1.973 0.000
Hg 1.973 0.000 0.000
Ru 1.973 1.973 2.238
Ta 0.000 0.000 2.238
```

Properties
Space group: P4/mmm, No. 123
Magnetization: 0.000 μB/atom
Energy above the lowest structure with this stoichiometry: 1.60 eV per formula unit

---

Density functional theory data (meta-GGA SCAN) for TaHg2Ru at its PBEsol-relaxed geometry.

The structure in extended XYZ format:
```
4
Lattice="3.300 0.000 0.000 0.000 4.788 0.000 -1.650 -2.394 4.558" Properties=species:S:1:pos:R:3 pbc="T T T"
Ta 0.000 2.394 2.036
Hg 1.650 2.394 4.487
Hg 1.650 0.000 2.376
Ru 1.650 2.394 0.216
```

Properties
Space group: Imm2, No. 44
Magnetization: 0.000 μB/atom
Energy above the lowest structure with this stoichiometry: 0.82 eV per formula unit

---

Repeat the third record exactly.
Density functional theory data (meta-GGA SCAN) for Sr3HgRu at its PBEsol-relaxed geometry.

The structure in extended XYZ format:
```
5
Lattice="5.908 0.000 0.000 0.000 5.908 0.000 0.000 0.000 5.908" Properties=species:S:1:pos:R:3 pbc="T T T"
Hg 0.000 0.000 0.000
Sr 0.000 2.954 0.000
Sr 0.000 0.000 2.954
Sr 2.954 0.000 0.000
Ru 2.954 2.954 2.954
```

Properties
Space group: Pm-3m, No. 221
Magnetization: 0.443 μB/atom
Electronic total energy: -166.78 eV for the cell shown